Here is a geometry-optimized Tl3Co5I12 structure from Alexandria via LeMat-Bulk. Energies are from GGA-PBE.

Cell lengths 15.4226, 15.4226, 15.4226 Å; angles 109.47, 109.47, 109.47 degrees
Last column: nearest neighbours and their distance in Å.
Atoms (fractional coordinates):
Tl1 0.1250 0.2500 0.3750  8 I 3.52-3.63
Tl2 0.1250 0.3750 0.7500  8 I 3.52-3.63
Tl3 0.2500 0.3750 0.1250  8 I 3.52-3.63
Tl4 0.2500 0.8750 0.6250  8 I 3.52-3.63
Tl5 0.3750 0.1250 0.2500  8 I 3.52-3.63
Tl6 0.3750 0.7500 0.1250  8 I 3.52-3.63
Tl7 0.6250 0.2500 0.8750  8 I 3.52-3.63
Tl8 0.6250 0.8750 0.7500  8 I 3.52-3.63
Tl9 0.7500 0.1250 0.3750  8 I 3.52-3.63
Tl10 0.7500 0.6250 0.8750  8 I 3.52-3.63
Tl11 0.8750 0.6250 0.2500  8 I 3.52-3.63
Tl12 0.8750 0.7500 0.6250  8 I 3.52-3.63
Co1 0.0000 0.0000 0.0000  6 I 2.83
Co2 0.0000 0.0000 0.5000  6 I 2.83
Co3 0.0000 0.5000 0.0000  6 I 2.83
Co4 0.0000 0.5000 0.5000  6 I 2.83
Co5 0.1250 0.7500 0.8750  4 I 2.60
Co6 0.1250 0.8750 0.2500  4 I 2.60
Co7 0.2500 0.1250 0.8750  4 I 2.60
Co8 0.2500 0.6250 0.3750  4 I 2.60
Co9 0.3750 0.2500 0.6250  4 I 2.60
Co10 0.3750 0.6250 0.7500  4 I 2.60
Co11 0.5000 0.0000 0.0000  6 I 2.83
Co12 0.5000 0.0000 0.5000  6 I 2.83
Co13 0.5000 0.5000 0.0000  6 I 2.83
Co14 0.5000 0.5000 0.5000  6 I 2.83
Co15 0.6250 0.3750 0.2500  4 I 2.60
Co16 0.6250 0.7500 0.3750  4 I 2.60
Co17 0.7500 0.3750 0.6250  4 I 2.60
Co18 0.7500 0.8750 0.1250  4 I 2.60
Co19 0.8750 0.1250 0.7500  4 I 2.60
Co20 0.8750 0.2500 0.1250  4 I 2.60
I1 0.0149 0.1968 0.1106  2 Co 2.60-2.83
I2 0.0149 0.3181 0.9043  2 Co 2.60-2.83
I3 0.0862 0.6968 0.6819  2 Co 2.60-2.83
I4 0.0862 0.8894 0.4043  2 Co 2.60-2.83
I5 0.0957 0.6106 0.4138  2 Co 2.60-2.83
I6 0.0957 0.9851 0.6819  2 Co 2.60-2.83
I7 0.1106 0.0149 0.1968  2 Co 2.60-2.83
I8 0.1106 0.5957 0.9138  2 Co 2.60-2.83
I9 0.1819 0.1968 0.5862  2 Co 2.60-2.83
I10 0.1819 0.4851 0.5957  2 Co 2.60-2.83
I11 0.1968 0.1106 0.0149  2 Co 2.60-2.83
I12 0.1968 0.5862 0.1819  2 Co 2.60-2.83
I13 0.3032 0.3181 0.9138  2 Co 2.60-2.83
I14 0.3032 0.4851 0.3894  2 Co 2.60-2.83
I15 0.3181 0.9043 0.0149  2 Co 2.60-2.83
I16 0.3181 0.9138 0.3032  2 Co 2.60-2.83
I17 0.3894 0.3032 0.4851  2 Co 2.60-2.83
I18 0.3894 0.5862 0.9043  2 Co 2.60-2.83
I19 0.4043 0.0862 0.8894  2 Co 2.60-2.83
I20 0.4043 0.8181 0.5149  2 Co 2.60-2.83
I21 0.4138 0.0957 0.6106  2 Co 2.60-2.83
I22 0.4138 0.8181 0.8032  2 Co 2.60-2.83
I23 0.4851 0.3894 0.3032  2 Co 2.60-2.83
I24 0.4851 0.5957 0.1819  2 Co 2.60-2.83
I25 0.5149 0.4043 0.8181  2 Co 2.60-2.83
I26 0.5149 0.6106 0.6968  2 Co 2.60-2.83
I27 0.5862 0.1819 0.1968  2 Co 2.60-2.83
I28 0.5862 0.9043 0.3894  2 Co 2.60-2.83
I29 0.5957 0.1819 0.4851  2 Co 2.60-2.83
I30 0.5957 0.9138 0.1106  2 Co 2.60-2.83
I31 0.6106 0.4138 0.0957  2 Co 2.60-2.83
I32 0.6106 0.6968 0.5149  2 Co 2.60-2.83
I33 0.6819 0.0862 0.6968  2 Co 2.60-2.83
I34 0.6819 0.0957 0.9851  2 Co 2.60-2.83
I35 0.6968 0.5149 0.6106  2 Co 2.60-2.83
I36 0.6968 0.6819 0.0862  2 Co 2.60-2.83
I37 0.8032 0.4138 0.8181  2 Co 2.60-2.83
I38 0.8032 0.8894 0.9851  2 Co 2.60-2.83
I39 0.8181 0.5149 0.4043  2 Co 2.60-2.83
I40 0.8181 0.8032 0.4138  2 Co 2.60-2.83
I41 0.8894 0.4043 0.0862  2 Co 2.60-2.83
I42 0.8894 0.9851 0.8032  2 Co 2.60-2.83
I43 0.9043 0.0149 0.3181  2 Co 2.60-2.83
I44 0.9043 0.3894 0.5862  2 Co 2.60-2.83
I45 0.9138 0.1106 0.5957  2 Co 2.60-2.83
I46 0.9138 0.3032 0.3181  2 Co 2.60-2.83
I47 0.9851 0.6819 0.0957  2 Co 2.60-2.83
I48 0.9851 0.8032 0.8894  2 Co 2.60-2.83

Properties
Total DFT energy (no corrections): -3.19 eV/atom
Energy relative to the elements, uncorrected: -130.4 meV/atom
Symmetry: Ia-3d
ρ: 5.717 g cm⁻³
Density of states at the Fermi level: 12.93 states/eV/f.u.
Total magnetization: 0.70 μB per atom

=====

Here is a geometry-optimized K5Pt structure from Alexandria via LeMat-Bulk. Energies are from GGA-PBE.

Cell lengths 7.3548, 7.3548, 7.3548 Å; angles 60.00, 60.00, 60.00 degrees
Last column: nearest neighbours and their distance in Å.
Atoms (fractional coordinates):
K1 0.0000 0.0000 0.0000  12 K 4.32, 4 Pt 4.50
K2 0.3776 0.3776 0.3776  6 K 3.60-3.75
K3 0.3776 0.3776 0.8672  6 K 3.60-3.75
K4 0.3776 0.8672 0.3776  6 K 3.60-3.75
K5 0.8672 0.3776 0.3776  6 K 3.60-3.75
Pt1 0.7500 0.7500 0.7500  16 K 4.30-4.50

Properties
Total DFT energy (no corrections): -1.51 eV/atom
Symmetry: F-43m
ρ: 2.305 g cm⁻³
Density of states at the Fermi level: 2.63 states/eV/f.u.
Total magnetization: 0.00 μB per atom
Energy of formation from the pure elements: 0.415 eV per atom
Energy above the lowest structure with this stoichiometry: 371 meV per atom

=====

Here is a geometry-optimized PmTh2AgRh5 structure from Alexandria via LeMat-Bulk. Energies are from GGA-PBE.

Cell lengths 8.1436, 8.1436, 8.1436 Å; angles 118.50, 118.50, 92.62 degrees
Last column: nearest neighbours and their distance in Å.
Atoms (fractional coordinates):
Pm1 0.2500 0.2500 0.0000  2 Rh 2.81
Pm2 0.7500 0.7500 0.0000  2 Rh 2.81
Th1 0.1395 0.6395 0.7790  2 Rh 2.50
Th2 0.3605 0.1395 0.5000  2 Rh 2.50
Th3 0.6395 0.8605 0.5000  2 Rh 2.50
Th4 0.8605 0.3605 0.2210  2 Rh 2.50
Ag1 0.2500 0.7500 0.5000  4 Rh 2.60
Ag2 0.7500 0.2500 0.5000  4 Rh 2.60
Rh1 0.0000 0.0000 0.0000  2 Pm 2.81
Rh2 0.0572 0.1739 0.5000  1 Th 2.50, 1 Ag 2.60
Rh3 0.1739 0.6739 0.1167  1 Th 2.50, 1 Ag 2.60
Rh4 0.3261 0.4428 0.5000  1 Th 2.50, 1 Ag 2.60
Rh5 0.4428 0.9428 0.1167  1 Th 2.50, 1 Ag 2.60
Rh6 0.5000 0.5000 0.0000  2 Pm 2.81
Rh7 0.5572 0.0572 0.8833  1 Th 2.50, 1 Ag 2.60
Rh8 0.6739 0.5572 0.5000  1 Th 2.50, 1 Ag 2.60
Rh9 0.8261 0.3261 0.8833  1 Th 2.50, 1 Ag 2.60
Rh10 0.9428 0.8261 0.5000  1 Th 2.50, 1 Ag 2.60

Properties
Total DFT energy (no corrections): -6.88 eV/atom
Symmetry: I4/mcm
ρ: 10.484 g cm⁻³
Density of states at the Fermi level: 9.00 states/eV/f.u.
Total magnetization: 0.00 μB per atom
Energy of formation from the pure elements: -0.301 eV per atom

=====

> Among the records above, which one has the highest total DFT energy (no corrections)?

K5Pt

=====

> Among the records above, which one has the highest ρ?

PmTh2AgRh5

=====

> Which of these has the lowest ρ?

K5Pt